# 1
DFT (PBE) results for a geometry-optimized LiNd5Zn4 structure.

```
data_LiNd5Zn4
_cell_length_a 3.716
_cell_length_b 3.716
_cell_length_c 18.522
_cell_angle_alpha 90.00
_cell_angle_beta 90.00
_cell_angle_gamma 90.00
_space_group_name_H-M_alt 'P 4/m m m'
_space_group_IT_number 123
_space_group_name_Hall '-P 4 2'
loop_
_atom_site_label
_atom_site_fract_x
_atom_site_fract_y
_atom_site_fract_z
Li1 0.000 0.000 0.000
Nd1 0.500 0.500 0.109
Nd2 0.500 0.500 0.303
Nd3 0.500 0.500 0.500
Zn1 0.000 0.000 0.203
Zn2 0.000 0.000 0.401
```

The density of states at the Fermi level is 12.2 states/eV per cell.

# 2
DFT (PBE) results for a geometry-optimized Pm4ZnPd7 structure.

```
data_Pm4ZnPd7
_cell_length_a 10.675
_cell_length_b 5.238
_cell_length_c 10.503
_cell_angle_alpha 90.00
_cell_angle_beta 117.75
_cell_angle_gamma 90.00
_space_group_name_H-M_alt 'C 1 2/m 1'
_space_group_IT_number 12
loop_
_space_group_symop_operation_xyz
'x,y,z'
'-x,-y,-z'
'-x,y,-z'
'x,-y,z'
'x+1/2,y+1/2,z'
'-x+1/2,-y+1/2,-z'
'-x+1/2,y+1/2,-z'
'x+1/2,-y+1/2,z'
loop_
_atom_site_label
_atom_site_fract_x
_atom_site_fract_y
_atom_site_fract_z
Pm1 0.097 0.000 0.290
Pm2 0.206 0.500 0.132
Zn1 0.000 0.500 0.500
Pd1 0.000 0.000 0.500
Pd2 0.083 0.500 0.791
Pd3 0.132 0.000 0.019
Pd4 0.204 0.500 0.410
```

The density of states at the Fermi level is 12.4 states/eV per cell.

# 3
DFT (PBE) results for a geometry-optimized In2BPt6 structure.

```
data_In2BPt6
_cell_length_a 5.7801
_cell_length_b 5.7801
_cell_length_c 9.9082
_cell_angle_alpha 90.00
_cell_angle_beta 90.00
_cell_angle_gamma 120.00
_space_group_name_H-M_alt 'P 63 m c'
_space_group_IT_number 186
_space_group_name_Hall 'P 6c -2c'
loop_
_atom_site_label
_atom_site_fract_x
_atom_site_fract_y
_atom_site_fract_z
In1 0.0000 0.0000 0.0000
In2 0.3333 0.6667 0.2377
B1 0.3333 0.6667 0.6161
Pt1 0.0049 0.5025 0.9857
Pt2 0.1642 0.3284 0.7465
```

The density of states at the Fermi level is 5.1 states/eV per cell.

# 4
DFT (PBE) results for a geometry-optimized Li2Dy3Cd5 structure.

```
data_Li2Dy3Cd5
_cell_length_a 10.464
_cell_length_b 10.464
_cell_length_c 4.161
_cell_angle_alpha 90.00
_cell_angle_beta 90.00
_cell_angle_gamma 90.00
_space_group_name_H-M_alt 'P 4/m b m'
_space_group_IT_number 127
_space_group_name_Hall '-P 4 2ab'
loop_
_atom_site_label
_atom_site_fract_x
_atom_site_fract_y
_atom_site_fract_z
Li1 0.115 0.385 0.000
Dy1 0.000 0.000 0.000
Dy2 0.179 0.679 0.000
Cd1 0.000 0.500 0.500
Cd2 0.062 0.216 0.500
```

The density of states at the Fermi level is 12.0 states/eV per cell.

# 5
DFT (PBE) results for a geometry-optimized CaTbGeRh structure.

```
data_CaTbGeRh
_cell_length_a 7.024
_cell_length_b 7.024
_cell_length_c 7.024
_cell_angle_alpha 90.00
_cell_angle_beta 90.00
_cell_angle_gamma 90.00
_space_group_name_H-M_alt 'F -4 3 m'
_space_group_IT_number 216
_space_group_name_Hall 'F -4 2 3'
loop_
_atom_site_label
_atom_site_fract_x
_atom_site_fract_y
_atom_site_fract_z
Ca1 0.000 0.000 0.000
Tb1 0.000 0.000 0.500
Ge1 0.250 0.250 0.750
Rh1 0.250 0.250 0.250
```

The density of states at the Fermi level is 10.1 states/eV per cell.

# 6
DFT (PBE) results for a geometry-optimized BeAs4W structure.

```
data_BeAs4W
_cell_length_a 7.534
_cell_length_b 7.534
_cell_length_c 7.534
_cell_angle_alpha 90.00
_cell_angle_beta 90.00
_cell_angle_gamma 90.00
_space_group_name_H-M_alt 'F -4 3 m'
_space_group_IT_number 216
_space_group_name_Hall 'F -4 2 3'
loop_
_atom_site_label
_atom_site_fract_x
_atom_site_fract_y
_atom_site_fract_z
Be1 0.000 0.000 0.000
As1 0.124 0.124 0.376
W1 0.250 0.250 0.750
```

The density of states at the Fermi level is 13.0 states/eV per cell.

no.,energy (eV/atom),formation enthalpy at 0 K (eV per atom)
1,-3.317,-0.232
2,-5.307,-0.589
3,-5.782,-0.404
4,-2.483,-0.262
5,-5.226,-0.576
6,-4.746,1.134